# 1
Here is a relaxed structure of Hf6C2N from the Alexandria database. Energies are from PBE-GGA.

Its uncorrected formation energy is -0.85 eV per atom. The calculation puts the total magnetization at 0.000 μB/cell.

```
data_Hf6C2N
_chemical_formula_sum 'Hf6 C2 N1'
_symmetry_space_group_name_H-M 'P -3 1 m'
_symmetry_Int_Tables_number 162
_symmetry_space_group_name_Hall '-P 3 2'
_cell_length_a 5.6484
_cell_length_b 5.6484
_cell_length_c 5.2837
_cell_angle_alpha 90.00
_cell_angle_beta 90.00
_cell_angle_gamma 120.00
loop_
_atom_site_label
_atom_site_type_symbol
_atom_site_fract_x
_atom_site_fract_y
_atom_site_fract_z
Hf1 Hf 0.0000 0.3321 0.2405
C1 C 0.3333 0.6667 0.0000
N1 N 0.0000 0.0000 0.0000
```


# 2
Here is a relaxed structure of Hf4CN3 from the Alexandria database. Energies are from PBE-GGA.

Its uncorrected formation energy is -1.59 eV per atom. The calculation puts the total magnetization at 0.000 μB/cell.

```
data_Hf4CN3
_chemical_formula_sum 'Hf12 C3 N9'
_symmetry_space_group_name_H-M 'R -3 m'
_symmetry_Int_Tables_number 166
_symmetry_space_group_name_Hall '-R 3 2"'
_cell_length_a 3.2339
_cell_length_b 3.2339
_cell_length_c 31.5524
_cell_angle_alpha 90.00
_cell_angle_beta 90.00
_cell_angle_gamma 120.00
loop_
_atom_site_label
_atom_site_type_symbol
_atom_site_fract_x
_atom_site_fract_y
_atom_site_fract_z
Hf1 Hf 0.0000 0.0000 0.1253
Hf2 Hf 0.0000 0.0000 0.3739
C1 C 0.0000 0.0000 0.5000
N1 N 0.0000 0.0000 0.0000
N2 N 0.0000 0.0000 0.2511
```


- Which value of total magnetization does entry 2 give?
  0.000 μB/cell


- total magnetization of number 1 (Hf6C2N)?
  0.000 μB/cell


What did the first record say?
Here is a relaxed structure of Hf6C2N from the Alexandria database. Energies are from PBE-GGA.

Its uncorrected formation energy is -0.85 eV per atom. The calculation puts the total magnetization at 0.000 μB/cell.

```
data_Hf6C2N
_chemical_formula_sum 'Hf6 C2 N1'
_symmetry_space_group_name_H-M 'P -3 1 m'
_symmetry_Int_Tables_number 162
_symmetry_space_group_name_Hall '-P 3 2'
_cell_length_a 5.6484
_cell_length_b 5.6484
_cell_length_c 5.2837
_cell_angle_alpha 90.00
_cell_angle_beta 90.00
_cell_angle_gamma 120.00
loop_
_atom_site_label
_atom_site_type_symbol
_atom_site_fract_x
_atom_site_fract_y
_atom_site_fract_z
Hf1 Hf 0.0000 0.3321 0.2405
C1 C 0.3333 0.6667 0.0000
N1 N 0.0000 0.0000 0.0000
```